## one
VASP calculation (GGA-PBE) on an optimized crystal structure of Tb2GeBi.

Geometry as extended XYZ:
```
8
Lattice="-3.095 0.385 2.857 -0.023 -4.397 0.568 8.020 3.259 8.250" Properties=species:S:1:pos:R:3 pbc="T T T"
Tb 0.429 -1.544 5.370
Tb 4.473 0.791 6.306
Tb 4.719 -0.975 9.942
Tb 0.183 0.223 1.733
Ge 6.565 1.068 8.534
Ge -1.663 -1.821 3.141
Bi 2.290 0.502 3.979
Bi 2.612 -1.255 7.696
```

Computed properties:
**Total magnetization**: 0.00 μB per formula unit
**Fermi-level density of states**: 0.411 states/eV per atom
**Density**: 9.034 g/cm³

---

## two
VASP calculation (GGA-PBE) on an optimized crystal structure of Tb2GeBi.

Geometry as extended XYZ:
```
4
Lattice="-2.825 2.681 1.619 -3.249 1.311 -2.347 -6.086 -4.406 2.173" Properties=species:S:1:pos:R:3 pbc="T T T"
Ge 0.000 0.000 0.000
Tb -2.926 0.057 0.294
Tb -9.233 -0.471 1.151
Bi -6.080 -0.207 0.722
```

Computed properties:
**Total magnetization**: 0.00 μB per formula unit
**Fermi-level density of states**: 0.474 states/eV per atom
**Density**: 8.693 g/cm³

---

Most stable one: one, least stable one: two.

---

## one
VASP calculation (GGA-PBE) on an optimized crystal structure of CuPOsS.

Geometry as extended XYZ:
```
4
Lattice="-0.079 0.468 3.553 2.385 -1.827 2.103 4.826 3.687 -0.382" Properties=species:S:1:pos:R:3 pbc="T T T"
Cu 1.380 -0.220 2.639
P 3.647 0.290 2.620
Os 2.579 2.259 2.336
S 6.368 2.243 4.230
```

Computed properties:
**Total magnetization**: 0.00 μB per formula unit
**Fermi-level density of states**: 0.638 states/eV per atom
**Density**: 7.704 g/cm³

---

## two
VASP calculation (GGA-PBE) on an optimized crystal structure of CuPOsS.

Geometry as extended XYZ:
```
4
Lattice="3.699 -0.091 -0.078 -1.801 3.280 -0.107 -0.428 -0.428 5.378" Properties=species:S:1:pos:R:3 pbc="T T T"
Cu 1.407 -0.417 4.813
P 2.043 1.676 2.973
Os 0.206 2.758 2.191
S 0.088 0.692 0.752
```

Computed properties:
**Total magnetization**: 0.00 μB per formula unit
**Fermi-level density of states**: 0.094 states/eV per atom
**Density**: 8.217 g/cm³

---

Most stable one: one, least stable one: two.